This record from Alexandria describes a relaxed structure of RbLi2BeRu. The functional is PBE-GGA.

a b c (Å): 4.3601 4.9984 4.3601
angles (deg): 90.00 90.00 90.00
Last column: nearest neighbours and their distance in Å.
Fractional positions:
Be  0.0000  0.5000  0.0000  2 Rb 2.50
Li  0.0000  0.0000  0.5000  2 Rb 2.18
Li  0.5000  0.0000  0.0000  2 Rb 2.18
Ru  0.5000  0.5000  0.5000  4 Be 3.08, 8 Li 3.32
Rb  0.0000  0.0000  0.0000  4 Li 2.18

Computed properties:
- SG = No. 123
- total moment (μB per cell) = 1.00
- DFT formation energy (eV/atom) = 1.793

***

This record from Alexandria describes a relaxed structure of Rb3Nd2DyO6. The functional is PBE-GGA.

a b c (Å): 6.2681 6.2681 6.9188
angles (deg): 98.67 98.67 120.01
Last column: nearest neighbours and their distance in Å.
Fractional positions:
Rb  0.5000  0.5000  0.5000  6 O 2.95-3.02
Rb  0.1654  0.8346  0.5000  6 O 2.95-3.03
Rb  0.8346  0.1654  0.5000  6 O 2.95-3.03
Dy  0.0000  0.0000  0.0000  6 O 2.34-2.35
O  0.0596  0.3829  0.1789  1 Dy 2.35, 2 Nd 2.43
O  0.3829  0.0596  0.1789  1 Dy 2.35, 2 Nd 2.43
O  0.7362  0.7362  0.1788  1 Dy 2.34, 2 Nd 2.43
O  0.6171  0.9404  0.8211  1 Dy 2.35, 2 Nd 2.43
O  0.2638  0.2638  0.8212  1 Dy 2.34, 2 Nd 2.43
O  0.9404  0.6171  0.8211  1 Dy 2.35, 2 Nd 2.43
Nd  0.3333  0.6667  0.0000  6 O 2.43
Nd  0.6667  0.3333  0.0000  6 O 2.43

Computed properties:
- energy relative to the elements, uncorrected (eV per atom) = -2.598
- SG = No. 12
- total moment (μB per cell) = 0.00

***

This record from Alexandria describes a relaxed structure of LiGe2Br8. The functional is PBE-GGA.

a b c (Å): 6.6193 8.3508 8.3508
angles (deg): 82.49 84.37 84.37
Last column: nearest neighbours and their distance in Å.
Fractional positions:
Ge  0.6975  0.7943  0.7943  4 Br 2.38-2.42
Ge  0.3025  0.2057  0.2057  4 Br 2.38-2.42
Br  0.3362  0.7981  0.7981  1 Ge 2.39
Br  0.8066  0.7275  0.0646  1 Ge 2.42, 1 Li 2.69
Br  0.1934  0.2725  0.9354  1 Ge 2.42, 1 Li 2.69
Br  0.8066  0.0646  0.7275  1 Ge 2.42, 1 Li 2.69
Br  0.8656  0.6146  0.6146  1 Ge 2.38
Br  0.6638  0.2019  0.2019  1 Ge 2.39
Br  0.1344  0.3854  0.3854  1 Ge 2.38
Br  0.1934  0.9354  0.2725  1 Ge 2.42, 1 Li 2.69
Li  0.0000  0.0000  0.0000  4 Br 2.69

Computed properties:
- energy relative to the elements, uncorrected (eV per atom) = -0.677
- SG = No. 12
- total moment (μB per cell) = 0.00